DFT (PBE) results for crystalline PmGe2Os at its relaxed geometry.

Structure (POSCAR):
```
PmGe2Os
1.0
5.8206 0.0707 0.0000
-2.6942 5.2333 0.0000
-1.5632 -2.6520 5.2924
Ge Pm Os
4 2 2
direct
0.5217 0.1026 0.2244
0.2973 0.3782 0.7756
0.7027 0.6218 0.2244
0.4783 0.8974 0.7756
0.8815 0.6315 0.7630
0.1185 0.3685 0.2370
0.7848 0.0348 0.5696
0.2152 0.9652 0.4304
```

Summary:
For the offset from the most stable computed form, the calculation gives 0 meV/atom. The symmetry is No. 15. Its calculated formation energy is -500 meV per atom. For the total energy, the calculation gives -6.80 eV/atom.


DFT (PBE) results for crystalline PmGe8Os2 at its relaxed geometry.

Structure (POSCAR):
```
PmGe8Os2
1.0
6.2918 0.0000 0.0000
0.0000 6.2918 0.0000
0.0000 0.0000 5.5301
Ge Os Pm
8 2 1
direct
0.7894 0.7894 0.2531
0.7894 0.7894 0.7469
0.7894 0.2106 0.7469
0.2106 0.7894 0.7469
0.7894 0.2106 0.2531
0.2106 0.2106 0.7469
0.2106 0.2106 0.2531
0.2106 0.7894 0.2531
0.5000 0.0000 0.0000
0.0000 0.5000 0.0000
0.5000 0.5000 0.5000
```

Summary:
The symmetry is No. 123. Its calculated formation energy is 168 meV per atom. For the total energy, the calculation gives -5.66 eV/atom.